! Li4YMo, optimized geometry, DFT PBE; values from VASP
! Formation enthalpy at 0 K in eV per atom: 0.4315
! Density in Mg/m³: 3.2
&SYSTEM
  ibrav = 0, nat = 6, ntyp = 3
/
ATOMIC_SPECIES
Li 6.94 Li.upf
Mo 95.94 Mo.upf
Y 88.91 Y.upf
CELL_PARAMETERS angstrom
3.726 2.790 2.698
-1.315 4.642 2.381
-0.227 0.300 5.367
ATOMIC_POSITIONS angstrom
Li 2.649 4.285 5.266
Li 0.181 5.192 5.111
Li 0.714 3.067 6.572
Li 0.825 2.920 3.945
Mo 1.638 5.799 7.835
Y 0.000 0.000 0.000

=====

! Nb2ZnP, optimized geometry, DFT PBE; values from VASP
! Formation enthalpy at 0 K in eV per atom: 0.1951
! Density in Mg/m³: 6.7
&SYSTEM
  ibrav = 0, nat = 8, ntyp = 3
/
ATOMIC_SPECIES
Zn 65.41 Zn.upf
Nb 92.91 Nb.upf
P 30.97 P.upf
CELL_PARAMETERS angstrom
-0.290 -1.138 3.675
0.583 -3.655 -1.086
9.367 -1.248 2.376
ATOMIC_POSITIONS angstrom
Zn 0.000 0.000 0.000
Nb 2.668 -2.745 0.393
Zn 4.612 -2.391 3.673
P 5.048 -3.650 1.292
Nb 2.235 -1.475 2.737
Nb 7.138 -2.752 2.748
Nb 7.279 -5.112 4.053
P 0.147 -2.397 1.294

=====

! Hf2AlFe5B2, optimized geometry, DFT PBE; values from VASP
! Formation enthalpy at 0 K in eV per atom: -0.4907
! Density in Mg/m³: 9.8
&SYSTEM
  ibrav = 0, nat = 20, ntyp = 4
/
ATOMIC_SPECIES
Fe 55.84 Fe.upf
Al 26.98 Al.upf
Hf 178.49 Hf.upf
B 10.81 B.upf
CELL_PARAMETERS angstrom
3.013 0.000 0.000
0.000 8.760 0.000
0.000 0.000 8.760
ATOMIC_POSITIONS angstrom
Fe 1.506 6.817 8.171
Al 0.000 4.380 4.380
Hf 0.000 7.212 5.928
Fe 1.506 0.000 4.380
Fe 1.506 4.380 0.000
Fe 1.506 8.171 1.943
Fe 1.506 4.970 6.323
B 0.000 3.324 1.056
Fe 1.506 6.323 3.791
Hf 0.000 2.832 7.212
B 0.000 1.056 5.436
Fe 1.506 3.791 2.437
B 0.000 7.704 3.324
Fe 1.506 2.437 4.970
Hf 0.000 1.548 2.832
Al 0.000 0.000 0.000
Hf 0.000 5.928 1.548
B 0.000 5.436 7.704
Fe 1.506 1.943 0.589
Fe 1.506 0.589 6.817

=====

! PmTiAs2Rh5, optimized geometry, DFT PBE; values from VASP
! Formation enthalpy at 0 K in eV per atom: -0.5556
! Density in Mg/m³: 8.2
&SYSTEM
  ibrav = 0, nat = 9, ntyp = 4
/
ATOMIC_SPECIES
Rh 102.91 Rh.upf
As 74.92 As.upf
Pm 145.00 Pm.upf
Ti 47.87 Ti.upf
CELL_PARAMETERS angstrom
-1.576 3.701 -0.536
-1.920 -1.300 -3.330
-8.323 -2.696 5.851
ATOMIC_POSITIONS angstrom
Rh -2.040 1.445 0.612
As -4.024 0.463 -0.333
Rh -2.213 -1.056 -0.785
Pm -4.162 -1.348 2.926
As -7.795 -0.758 2.318
Rh -5.910 -0.148 0.992
Rh -8.031 -2.940 3.306
Rh -7.859 -0.440 4.703
Ti 0.000 0.000 0.000

=====

! Pm4ErS5, optimized geometry, DFT PBE; values from VASP
! Total DFT energy (no corrections) in eV/cell: -64.29
! Density in Mg/m³: 6.7
&SYSTEM
  ibrav = 0, nat = 10, ntyp = 3
/
ATOMIC_SPECIES
S 32.06 S.upf
Pm 145.00 Pm.upf
Er 167.26 Er.upf
CELL_PARAMETERS angstrom
3.919 0.000 -0.756
-0.292 5.445 -1.511
0.014 0.005 10.608
ATOMIC_POSITIONS angstrom
S 2.305 0.516 1.413
S -0.146 2.722 -0.756
Pm 0.725 1.081 3.755
Pm 2.917 4.369 4.585
Er 0.000 0.000 0.000
S 3.052 1.631 5.287
Pm 1.460 2.179 7.569
S 0.589 3.819 3.053
S 1.337 4.935 6.928
Pm 2.181 3.271 0.772

=====

! CaPm2Nd, optimized geometry, DFT PBE; values from VASP
! Formation enthalpy at 0 K in eV per atom: 0.0435
! Density in Mg/m³: 5.4
&SYSTEM
  ibrav = 0, nat = 4, ntyp = 3
/
ATOMIC_SPECIES
Nd 144.24 Nd.upf
Pm 145.00 Pm.upf
Ca 40.08 Ca.upf
CELL_PARAMETERS angstrom
3.693 0.000 0.000
1.847 3.198 0.000
1.847 1.066 12.248
ATOMIC_POSITIONS angstrom
Nd 0.000 0.000 0.000
Pm 1.847 1.066 2.941
Pm 5.540 3.198 9.307
Ca 3.693 2.132 6.124

=====

Table of M_tot (Bohr magnetons per cell), in record order: 2.238; 0.000; 5.983; 0.000; 0.000; 0.000
Table of density of states at the Fermi level (states/eV/cell), in record order: 5.677; 6.805; 22.400; 4.544; 4.724; 6.405